[1]
The following is a SCAN calculation of a crystal of CuAg2Au relaxed with PBEsol, from the Alexandria database.

Summary:
E_form	9	meV/atom
total moment	0.000	μB per atom
energy above the most stable polymorph in this dataset	0.09	eV/f.u.
N(E_F)	0.2482	states/eV/atom

Cell lengths 4.908, 4.908, 4.782 Å; angles 101.75, 101.75, 33.26 degrees
Fractional positions:
Cu: 0.000 0.000 0.000
Ag: 0.258 0.258 0.758
Ag: 0.742 0.742 0.242
Au: 0.500 0.500 0.500

***

[2]
The following is a SCAN calculation of a crystal of CuAgAu2 relaxed with PBEsol, from the Alexandria database.

Summary:
E_form	-31	meV/atom
total moment	0.000	μB per atom
energy above the most stable polymorph in this dataset	0.25	eV/f.u.
N(E_F)	0.3999	states/eV/atom

Cell lengths 8.997, 8.997, 8.997 Å; angles 18.28, 18.28, 18.28 degrees
Fractional positions:
Cu: 0.000 0.000 0.000
Ag: 0.500 0.500 0.500
Au: 0.256 0.256 0.256
Au: 0.744 0.744 0.744

***

[3]
The following is a SCAN calculation of a crystal of CuAgAu2 relaxed with PBEsol, from the Alexandria database.

Summary:
E_form	-39	meV/atom
total moment	0.000	μB per atom
energy above the most stable polymorph in this dataset	0.21	eV/f.u.
N(E_F)	0.2375	states/eV/atom

Cell lengths 4.874, 4.874, 4.874 Å; angles 132.18, 132.18, 69.95 degrees
Fractional positions:
Cu: 0.000 0.000 0.000
Ag: 0.750 0.250 0.500
Au: 0.250 0.750 0.500
Au: 0.500 0.500 0.000

***

[4]
The following is a SCAN calculation of a crystal of CuAgAu2 relaxed with PBEsol, from the Alexandria database.

Summary:
E_form	-12	meV/atom
total moment	0.000	μB per atom
energy above the most stable polymorph in this dataset	0.32	eV/f.u.
N(E_F)	0.2742	states/eV/atom

Cell lengths 4.864, 4.864, 4.883 Å; angles 102.64, 102.64, 33.83 degrees
Fractional positions:
Cu: 0.000 0.000 0.000
Ag: 0.500 0.500 0.500
Au: 0.261 0.261 0.759
Au: 0.739 0.739 0.241

***

[5]
The following is a SCAN calculation of a crystal of CuAgAu2 relaxed with PBEsol, from the Alexandria database.

Summary:
E_form	-17	meV/atom
total moment	0.000	μB per atom
energy above the most stable polymorph in this dataset	0.30	eV/f.u.
N(E_F)	0.3492	states/eV/atom

Cell lengths 2.820, 2.820, 7.801 Å; angles 90.00, 90.00, 90.00 degrees
Fractional positions:
Cu: 0.000 0.000 0.000
Ag: 0.500 0.500 0.770
Au: 0.000 0.000 0.502
Au: 0.500 0.500 0.226

***

[6]
The following is a SCAN calculation of a crystal of Cu2Ag2Au relaxed with PBEsol, from the Alexandria database.

Summary:
E_form	328	meV/atom
total moment	0.000	μB per atom
N(E_F)	0.2723	states/eV/atom

Cell lengths 6.435, 6.435, 6.435 Å; angles 146.78, 146.78, 47.69 degrees
Fractional positions:
Cu: 0.095 0.095 0.000
Cu: 0.905 0.905 0.000
Ag: 0.250 0.750 0.500
Ag: 0.750 0.250 0.500
Au: 0.500 0.500 0.000

***

Q: The lowest N(E_F) belongs to which entry?
A: number 3

***

Q: Which value of N(E_F) does entry 1 give?
A: 0.2482 states/eV/atom